(1)
# KBi2Sb2 meta-GGA SCAN PBEsol geometry
data_KBi2Sb2
_space_group_name_H-M_alt 'I 4/m m m'
_space_group_IT_number 139
_space_group_name_Hall '-I 4 2'
_cell_length_a 5.769
_cell_length_b 5.769
_cell_length_c 10.975
_cell_angle_alpha 90.00
_cell_angle_beta 90.00
_cell_angle_gamma 90.00
loop_
_atom_site_label
_atom_site_type_symbol
_atom_site_fract_x
_atom_site_fract_y
_atom_site_fract_z
K1 K 0.000 0.000 0.000
Bi1 Bi 0.000 0.000 0.352
Sb1 Sb 0.000 0.500 0.250
# - Magnetic moment: 0.00 μB/f.u.
# - ρ: 6.4 Mg/m³
# - Distance to the lowest polymorph of the same formula: 0.0 meV/atom
# - Formation energy (no corrections): -0.160 eV/atom

(2)
# KBi2Sb2 meta-GGA SCAN PBEsol geometry
data_KBi2Sb2
_space_group_name_H-M_alt 'P 4/m b m'
_space_group_IT_number 127
_space_group_name_Hall '-P 4 2ab'
_cell_length_a 8.809
_cell_length_b 8.809
_cell_length_c 4.060
_cell_angle_alpha 90.00
_cell_angle_beta 90.00
_cell_angle_gamma 90.00
loop_
_atom_site_label
_atom_site_type_symbol
_atom_site_fract_x
_atom_site_fract_y
_atom_site_fract_z
K1 K 0.000 0.000 0.000
Bi1 Bi 0.132 0.368 0.000
Sb1 Sb 0.163 0.663 0.500
# - Magnetic moment: 0.00 μB/f.u.
# - ρ: 7.4 Mg/m³
# - Distance to the lowest polymorph of the same formula: 123.9 meV/atom
# - Formation energy (no corrections): -0.036 eV/atom

(3)
# KBi2Sb2 meta-GGA SCAN PBEsol geometry
data_KBi2Sb2
_space_group_name_H-M_alt 'I 4/m m m'
_space_group_IT_number 139
_space_group_name_Hall '-I 4 2'
_cell_length_a 4.716
_cell_length_b 4.716
_cell_length_c 15.203
_cell_angle_alpha 90.00
_cell_angle_beta 90.00
_cell_angle_gamma 90.00
loop_
_atom_site_label
_atom_site_type_symbol
_atom_site_fract_x
_atom_site_fract_y
_atom_site_fract_z
K1 K 0.000 0.000 0.000
Bi1 Bi 0.000 0.500 0.250
Sb1 Sb 0.000 0.000 0.405
# - Magnetic moment: 0.00 μB/f.u.
# - ρ: 6.9 Mg/m³
# - Distance to the lowest polymorph of the same formula: 138.0 meV/atom
# - Formation energy (no corrections): -0.022 eV/atom

(4)
# KBi3Sb meta-GGA SCAN PBEsol geometry
data_KBi3Sb
_space_group_name_H-M_alt 'P m -3 m'
_space_group_IT_number 221
_space_group_name_Hall '-P 4 2 3'
_cell_length_a 5.728
_cell_length_b 5.728
_cell_length_c 5.728
_cell_angle_alpha 90.00
_cell_angle_beta 90.00
_cell_angle_gamma 90.00
loop_
_atom_site_label
_atom_site_type_symbol
_atom_site_fract_x
_atom_site_fract_y
_atom_site_fract_z
K1 K 0.000 0.000 0.000
Bi1 Bi 0.000 0.000 0.500
Sb1 Sb 0.500 0.500 0.500
# - Magnetic moment: 0.00 μB/f.u.
# - ρ: 7.0 Mg/m³
# - Formation energy (no corrections): 1.333 eV/atom

(5)
# K2BiSb2 meta-GGA SCAN PBEsol geometry
data_K2BiSb2
_space_group_name_H-M_alt 'P 4/m b m'
_space_group_IT_number 127
_space_group_name_Hall '-P 4 2ab'
_cell_length_a 8.036
_cell_length_b 8.036
_cell_length_c 5.392
_cell_angle_alpha 90.00
_cell_angle_beta 90.00
_cell_angle_gamma 90.00
loop_
_atom_site_label
_atom_site_type_symbol
_atom_site_fract_x
_atom_site_fract_y
_atom_site_fract_z
K1 K 0.176 0.324 0.000
Bi1 Bi 0.000 0.000 0.500
Sb1 Sb 0.124 0.624 0.500
# - Magnetic moment: 0.00 μB/f.u.
# - ρ: 5.1 Mg/m³
# - Formation energy (no corrections): -0.382 eV/atom

(6)
# KScTi2Bi meta-GGA SCAN PBEsol geometry
data_KScTi2Bi
_space_group_name_H-M_alt 'P 4/m m m'
_space_group_IT_number 123
_space_group_name_Hall '-P 4 2'
_cell_length_a 5.276
_cell_length_b 5.276
_cell_length_c 5.945
_cell_angle_alpha 90.00
_cell_angle_beta 90.00
_cell_angle_gamma 90.00
loop_
_atom_site_label
_atom_site_type_symbol
_atom_site_fract_x
_atom_site_fract_y
_atom_site_fract_z
K1 K 0.000 0.000 0.000
Sc1 Sc 0.500 0.500 0.000
Ti1 Ti 0.000 0.500 0.500
Bi1 Bi 0.000 0.000 0.500
# - Magnetic moment: 6.31 μB/f.u.
# - ρ: 3.9 Mg/m³
# - Calculated formation energy: 1.02 eV/atom

(7)
# KBiSe3 meta-GGA SCAN PBEsol geometry
data_KBiSe3
_space_group_name_H-M_alt 'P m -3 m'
_space_group_IT_number 221
_space_group_name_Hall '-P 4 2 3'
_cell_length_a 5.351
_cell_length_b 5.351
_cell_length_c 5.351
_cell_angle_alpha 90.00
_cell_angle_beta 90.00
_cell_angle_gamma 90.00
loop_
_atom_site_label
_atom_site_type_symbol
_atom_site_fract_x
_atom_site_fract_y
_atom_site_fract_z
K1 K 0.000 0.000 0.000
Bi1 Bi 0.500 0.500 0.500
Se1 Se 0.000 0.000 0.500
# - Magnetic moment: 2.39 μB/f.u.
# - ρ: 5.3 Mg/m³
# - Formation energy (no corrections): 0.913 eV/atom

(8)
# KSi2Bi2 meta-GGA SCAN PBEsol geometry
data_KSi2Bi2
_space_group_name_H-M_alt 'I 4/m m m'
_space_group_IT_number 139
_space_group_name_Hall '-I 4 2'
_cell_length_a 5.031
_cell_length_b 5.031
_cell_length_c 12.374
_cell_angle_alpha 90.00
_cell_angle_beta 90.00
_cell_angle_gamma 90.00
loop_
_atom_site_label
_atom_site_type_symbol
_atom_site_fract_x
_atom_site_fract_y
_atom_site_fract_z
K1 K 0.000 0.000 0.000
Si1 Si 0.000 0.500 0.250
Bi1 Bi 0.000 0.000 0.356
# - Magnetic moment: 0.00 μB/f.u.
# - ρ: 5.4 Mg/m³
# - Formation energy (no corrections): 0.260 eV/atom

(9)
# KSi3Bi meta-GGA SCAN PBEsol geometry
data_KSi3Bi
_space_group_name_H-M_alt 'P m -3 m'
_space_group_IT_number 221
_space_group_name_Hall '-P 4 2 3'
_cell_length_a 5.434
_cell_length_b 5.434
_cell_length_c 5.434
_cell_angle_alpha 90.00
_cell_angle_beta 90.00
_cell_angle_gamma 90.00
loop_
_atom_site_label
_atom_site_type_symbol
_atom_site_fract_x
_atom_site_fract_y
_atom_site_fract_z
K1 K 0.000 0.000 0.000
Si1 Si 0.000 0.500 0.500
Bi1 Bi 0.500 0.500 0.500
# - Magnetic moment: 0.00 μB/f.u.
# - ρ: 3.4 Mg/m³
# - Formation energy (no corrections): 1.252 eV/atom

(10)
# KSn2Bi2 meta-GGA SCAN PBEsol geometry
data_KSn2Bi2
_space_group_name_H-M_alt 'I 4/m m m'
_space_group_IT_number 139
_space_group_name_Hall '-I 4 2'
_cell_length_a 5.228
_cell_length_b 5.228
_cell_length_c 13.423
_cell_angle_alpha 90.00
_cell_angle_beta 90.00
_cell_angle_gamma 90.00
loop_
_atom_site_label
_atom_site_type_symbol
_atom_site_fract_x
_atom_site_fract_y
_atom_site_fract_z
K1 K 0.000 0.000 0.000
Sn1 Sn 0.000 0.500 0.250
Bi1 Bi 0.000 0.000 0.378
# - Magnetic moment: 0.00 μB/f.u.
# - ρ: 6.3 Mg/m³
# - Calculated formation energy: -0.13 eV/atom

(11)
# K2SnBi2 meta-GGA SCAN PBEsol geometry
data_K2SnBi2
_space_group_name_H-M_alt 'P 4/m b m'
_space_group_IT_number 127
_space_group_name_Hall '-P 4 2ab'
_cell_length_a 8.101
_cell_length_b 8.101
_cell_length_c 5.575
_cell_angle_alpha 90.00
_cell_angle_beta 90.00
_cell_angle_gamma 90.00
loop_
_atom_site_label
_atom_site_type_symbol
_atom_site_fract_x
_atom_site_fract_y
_atom_site_fract_z
K1 K 0.172 0.328 0.000
Sn1 Sn 0.000 0.000 0.500
Bi1 Bi 0.132 0.632 0.500
# - Magnetic moment: 0.00 μB/f.u.
# - ρ: 5.6 Mg/m³
# - Calculated formation energy: -0.32 eV/atom

(12)
# KSrBi2 meta-GGA SCAN PBEsol geometry
data_KSrBi2
_space_group_name_H-M_alt 'F m -3 m'
_space_group_IT_number 225
_space_group_name_Hall '-F 4 2 3'
_cell_length_a 8.180
_cell_length_b 8.180
_cell_length_c 8.180
_cell_angle_alpha 90.00
_cell_angle_beta 90.00
_cell_angle_gamma 90.00
loop_
_atom_site_label
_atom_site_type_symbol
_atom_site_fract_x
_atom_site_fract_y
_atom_site_fract_z
K1 K 0.000 0.000 0.000
Sr1 Sr 0.000 0.000 0.500
Bi1 Bi 0.250 0.250 0.250
# - Magnetic moment: 0.00 μB/f.u.
# - ρ: 6.6 Mg/m³
# - Calculated formation energy: -0.54 eV/atom
# - Distance to the lowest polymorph of the same formula: 0.0 meV/atom

(13)
# KSrBi2 meta-GGA SCAN PBEsol geometry
data_KSrBi2
_space_group_name_H-M_alt 'I -4 2 d'
_space_group_IT_number 122
_space_group_name_Hall 'I -4 2bw'
_cell_length_a 9.275
_cell_length_b 9.275
_cell_length_c 6.696
_cell_angle_alpha 90.00
_cell_angle_beta 90.00
_cell_angle_gamma 90.00
loop_
_atom_site_label
_atom_site_type_symbol
_atom_site_fract_x
_atom_site_fract_y
_atom_site_fract_z
K1 K 0.000 0.000 0.000
Sr1 Sr 0.000 0.000 0.500
Bi1 Bi 0.246 0.250 0.625
# - Magnetic moment: 0.92 μB/f.u.
# - ρ: 6.3 Mg/m³
# - Calculated formation energy: -0.33 eV/atom
# - Distance to the lowest polymorph of the same formula: 204.1 meV/atom

(14)
# KSr2Bi2 meta-GGA SCAN PBEsol geometry
data_KSr2Bi2
_space_group_name_H-M_alt 'P 4/m b m'
_space_group_IT_number 127
_space_group_name_Hall '-P 4 2ab'
_cell_length_a 9.784
_cell_length_b 9.784
_cell_length_c 3.910
_cell_angle_alpha 90.00
_cell_angle_beta 90.00
_cell_angle_gamma 90.00
loop_
_atom_site_label
_atom_site_type_symbol
_atom_site_fract_x
_atom_site_fract_y
_atom_site_fract_z
K1 K 0.000 0.000 0.000
Sr1 Sr 0.135 0.365 0.500
Bi1 Bi 0.163 0.663 0.000
# - Magnetic moment: 0.00 μB/f.u.
# - ρ: 5.6 Mg/m³
# - Calculated formation energy: -0.81 eV/atom

(15)
# KTaBi2 meta-GGA SCAN PBEsol geometry
data_KTaBi2
_space_group_name_H-M_alt 'I -4 2 d'
_space_group_IT_number 122
_space_group_name_Hall 'I -4 2bw'
_cell_length_a 7.625
_cell_length_b 7.625
_cell_length_c 12.279
_cell_angle_alpha 90.00
_cell_angle_beta 90.00
_cell_angle_gamma 90.00
loop_
_atom_site_label
_atom_site_type_symbol
_atom_site_fract_x
_atom_site_fract_y
_atom_site_fract_z
K1 K 0.000 0.000 0.000
Ta1 Ta 0.000 0.000 0.500
Bi1 Bi 0.145 0.750 0.625
# - Magnetic moment: 0.00 μB/f.u.
# - ρ: 5.9 Mg/m³
# - Calculated formation energy: 0.43 eV/atom

(16)
# K3TcBi meta-GGA SCAN PBEsol geometry
data_K3TcBi
_space_group_name_H-M_alt 'P m -3 m'
_space_group_IT_number 221
_space_group_name_Hall '-P 4 2 3'
_cell_length_a 6.650
_cell_length_b 6.650
_cell_length_c 6.650
_cell_angle_alpha 90.00
_cell_angle_beta 90.00
_cell_angle_gamma 90.00
loop_
_atom_site_label
_atom_site_type_symbol
_atom_site_fract_x
_atom_site_fract_y
_atom_site_fract_z
K1 K 0.000 0.000 0.500
Tc1 Tc 0.500 0.500 0.500
Bi1 Bi 0.000 0.000 0.000
# - Magnetic moment: 5.00 μB/f.u.
# - ρ: 2.4 Mg/m³
# - Calculated formation energy: 0.96 eV/atom

(17)
# K2Bi2Te meta-GGA SCAN PBEsol geometry
data_K2Bi2Te
_space_group_name_H-M_alt 'P 4/m b m'
_space_group_IT_number 127
_space_group_name_Hall '-P 4 2ab'
_cell_length_a 8.245
_cell_length_b 8.245
_cell_length_c 5.416
_cell_angle_alpha 90.00
_cell_angle_beta 90.00
_cell_angle_gamma 90.00
loop_
_atom_site_label
_atom_site_type_symbol
_atom_site_fract_x
_atom_site_fract_y
_atom_site_fract_z
K1 K 0.174 0.326 0.000
Bi1 Bi 0.130 0.630 0.500
Te1 Te 0.000 0.000 0.500
# - Magnetic moment: 0.00 μB/f.u.
# - ρ: 5.6 Mg/m³
# - Formation energy (no corrections): -0.402 eV/atom

(18)
# KBiTe2 meta-GGA SCAN PBEsol geometry
data_KBiTe2
_space_group_name_H-M_alt 'I -4 2 d'
_space_group_IT_number 122
_space_group_name_Hall 'I -4 2bw'
_cell_length_a 8.438
_cell_length_b 8.438
_cell_length_c 9.725
_cell_angle_alpha 90.00
_cell_angle_beta 90.00
_cell_angle_gamma 90.00
loop_
_atom_site_label
_atom_site_type_symbol
_atom_site_fract_x
_atom_site_fract_y
_atom_site_fract_z
K1 K 0.000 0.000 0.000
Bi1 Bi 0.000 0.000 0.500
Te1 Te 0.206 0.250 0.625
# - Magnetic moment: 0.00 μB/f.u.
# - ρ: 4.8 Mg/m³
# - Formation energy (no corrections): -0.466 eV/atom

(19)
# K2BiTe meta-GGA SCAN PBEsol geometry
data_K2BiTe
_space_group_name_H-M_alt 'I -4 2 d'
_space_group_IT_number 122
_space_group_name_Hall 'I -4 2bw'
_cell_length_a 9.619
_cell_length_b 9.619
_cell_length_c 6.351
_cell_angle_alpha 90.00
_cell_angle_beta 90.00
_cell_angle_gamma 90.00
loop_
_atom_site_label
_atom_site_type_symbol
_atom_site_fract_x
_atom_site_fract_y
_atom_site_fract_z
K1 K 0.230 0.250 0.125
Bi1 Bi 0.000 0.000 0.500
Te1 Te 0.000 0.000 0.000
# - Magnetic moment: 1.05 μB/f.u.
# - ρ: 4.7 Mg/m³
# - Formation energy (no corrections): -0.445 eV/atom

(20)
# KTi3Bi meta-GGA SCAN PBEsol geometry
data_KTi3Bi
_space_group_name_H-M_alt 'P m -3 m'
_space_group_IT_number 221
_space_group_name_Hall '-P 4 2 3'
_cell_length_a 4.544
_cell_length_b 4.544
_cell_length_c 4.544
_cell_angle_alpha 90.00
_cell_angle_beta 90.00
_cell_angle_gamma 90.00
loop_
_atom_site_label
_atom_site_type_symbol
_atom_site_fract_x
_atom_site_fract_y
_atom_site_fract_z
K1 K 0.000 0.000 0.000
Ti1 Ti 0.000 0.000 0.500
Bi1 Bi 0.500 0.500 0.500
# - Magnetic moment: 1.67 μB/f.u.
# - ρ: 6.9 Mg/m³
# - Calculated formation energy: 1.79 eV/atom